This record from Alexandria describes a geometry-optimized La4Dy10Th structure. The functional is PBE-GGA.

```
15
Lattice="-4.8782 4.8782 5.3510 4.8782 -4.8782 5.3510 4.8782 4.8782 -5.3510" Properties=species:S:1:pos:R:3 pbc="T T T"
La 6.5243 0.5893 0.0000
La 0.5893 3.2321 0.0000
La 4.2889 1.6461 5.3510
La -1.6461 4.2889 5.3510
Dy 3.7324 2.8705 -1.7133
Dy 2.0077 -1.1458 3.6377
Dy 4.8782 0.0000 2.6755
Dy 3.7324 2.8705 1.7133
Dy 2.8705 6.0240 -1.7133
Dy 2.0077 -1.1458 7.0643
Dy 1.1458 2.0077 3.6377
Dy 0.0000 4.8782 2.6755
Dy 2.8705 6.0240 1.7133
Dy 1.1458 2.0077 7.0643
Th 0.0000 0.0000 0.0000
```

Computed properties:
The symmetry is No. 87. The calculation puts the energy relative to the elements at 0.3807 eV per atom. The value obtained for the volume is 509 Å³/f.u.

---

This record from Alexandria describes a geometry-optimized LiCaTl structure. The functional is PBE-GGA.

```
9
Lattice="-2.4443 7.1196 3.5060 2.4443 -7.1196 3.5060 2.4443 7.1196 -3.5060" Properties=species:S:1:pos:R:3 pbc="T T T"
Li 0.0000 0.0000 0.0000
Li 2.4443 2.2725 0.2934
Li 0.0000 4.8471 3.7994
Ca 2.4443 5.0924 -0.9822
Ca 0.0000 2.0272 2.5237
Ca 0.0000 7.1196 1.4114
Tl 2.4443 -4.4274 2.3367
Tl 2.4443 0.0000 1.6620
Tl 2.4443 4.4274 2.3367
```

Computed properties:
For the energy above the lowest structure with this stoichiometry, the calculation gives 84 meV per atom. The symmetry is No. 44. The calculation puts the energy relative to the elements at -0.2126 eV per atom. The value obtained for the volume is 81 Å³/f.u.

---

This record from Alexandria describes a geometry-optimized ZnNiP structure. The functional is PBE-GGA.

```
9
Lattice="6.4313 0.0000 0.0000 -3.2156 5.5696 0.0000 0.0000 0.0000 3.4328" Properties=species:S:1:pos:R:3 pbc="T T T"
Zn -0.8939 1.5482 0.0000
Zn 1.7877 0.0000 0.0000
Zn 2.3218 4.0214 0.0000
Ni -2.0667 3.5796 1.7164
Ni 1.1489 1.9900 1.7164
Ni 4.1334 0.0000 1.7164
P 0.0000 0.0000 1.7164
P 0.0000 3.7131 0.0000
P 3.2156 1.8565 0.0000
```

Computed properties:
The symmetry is No. 189. The calculation puts the energy relative to the elements at 0.0711 eV per atom. The value obtained for the volume is 41 Å³/f.u.

---

This record from Alexandria describes a geometry-optimized BeSiRu2 structure. The functional is PBE-GGA.

```
4
Lattice="2.9477 0.0000 0.0000 0.0000 2.9477 0.0000 0.0000 0.0000 5.5296" Properties=species:S:1:pos:R:3 pbc="T T T"
Be 0.0000 0.0000 0.0000
Si 1.4739 1.4739 4.2344
Ru 0.0000 0.0000 2.9490
Ru 1.4739 1.4739 1.0983
```

Computed properties:
For the energy above the lowest structure with this stoichiometry, the calculation gives 181 meV per atom. The symmetry is No. 99. As for the formation energy from raw total energies: -0.376 eV/atom. The value obtained for the volume is 48 Å³/f.u.

---

This record from Alexandria describes a geometry-optimized KScSb2 structure. The functional is PBE-GGA.

```
8
Lattice="8.8979 0.0000 0.0000 0.0000 4.0554 0.0000 -1.8340 0.0000 7.3611" Properties=species:S:1:pos:R:3 pbc="T T T"
K 0.0000 0.0000 0.0000
K 4.4490 2.0277 0.0000
Sc -0.9170 2.0277 3.6806
Sc 3.5320 0.0000 3.6806
Sb 0.8473 0.0000 4.9179
Sb 1.7677 2.0277 2.4432
Sb 5.2963 2.0277 4.9179
Sb 6.2166 0.0000 2.4432
```

Computed properties:
For the energy above the lowest structure with this stoichiometry, the calculation gives 70 meV per atom. The symmetry is No. 12. As for the formation energy from raw total energies: -0.506 eV/atom. The value obtained for the volume is 133 Å³/f.u.

---

This record from Alexandria describes a geometry-optimized La2AgS2 structure. The functional is PBE-GGA.

```
10
Lattice="8.0452 0.0000 0.0000 0.0000 8.0452 0.0000 0.0000 0.0000 3.6811" Properties=species:S:1:pos:R:3 pbc="T T T"
La 1.3078 2.7147 0.0000
La 2.7147 6.7373 0.0000
La 5.3304 1.3078 0.0000
La 6.7373 5.3304 0.0000
Ag 0.0000 0.0000 1.8406
Ag 4.0226 4.0226 1.8406
S 1.1127 5.1353 1.8406
S 2.9099 1.1127 1.8406
S 5.1353 6.9324 1.8406
S 6.9324 2.9099 1.8406
```

Computed properties:
The symmetry is No. 127. As for the formation energy from raw total energies: -1.443 eV/atom. The value obtained for the volume is 119 Å³/f.u.

---

This record from Alexandria describes a geometry-optimized Li5As3Au12 structure. The functional is PBE-GGA.

```
80
Lattice="-7.5582 7.5582 7.5582 7.5582 -7.5582 7.5582 7.5582 7.5582 -7.5582" Properties=species:S:1:pos:R:3 pbc="T T T"
Li 0.0000 0.0000 0.0000
Li 3.7791 3.7791 -3.7791
Li 3.7791 -3.7791 3.7791
Li 7.5582 0.0000 0.0000
Li 11.3373 1.8896 0.0000
Li 7.5582 -3.7791 5.6687
Li 5.6687 7.5582 -3.7791
Li 5.6687 0.0000 3.7791
Li 3.7791 5.6687 0.0000
Li 7.5582 3.7791 1.8896
Li -3.7791 3.7791 3.7791
Li 0.0000 7.5582 0.0000
Li 0.0000 0.0000 7.5582
Li 3.7791 3.7791 3.7791
Li 0.0000 3.7791 5.6687
Li 3.7791 1.8896 7.5582
Li 1.8896 7.5582 3.7791
Li 1.8896 0.0000 11.3373
Li 0.0000 11.3373 1.8896
Li -3.7791 5.6687 7.5582
As 3.7791 1.8896 0.0000
As 7.5582 3.7791 -1.8896
As 1.8896 0.0000 3.7791
As 9.4478 0.0000 3.7791
As 0.0000 3.7791 1.8896
As 3.7791 -1.8896 7.5582
As 3.7791 9.4478 0.0000
As 7.5582 3.7791 5.6687
As -1.8896 7.5582 3.7791
As 5.6687 7.5582 3.7791
As 0.0000 3.7791 9.4478
As 3.7791 5.6687 7.5582
Au 2.2026 -0.3002 1.2163
Au 9.1347 4.9954 -4.0793
Au 7.2580 -1.2163 2.2026
Au 11.6375 -1.5765 2.5628
Au 9.7608 0.3002 1.2163
Au 9.1347 -2.5628 4.0793
Au 1.2163 2.2026 -0.3002
Au 10.1210 3.4789 -1.5765
Au 4.9954 4.0793 -1.5765
Au 6.3419 2.2026 0.3002
Au -0.3002 1.2163 2.2026
Au 4.0793 -1.5765 4.9954
Au 7.2580 6.3419 -2.2026
Au 4.0793 1.5765 2.5628
Au 6.3419 -2.2026 7.2580
Au 4.9954 -4.0793 9.1347
Au 2.5628 4.0793 1.5765
Au 8.7745 5.3556 0.3002
Au 2.2026 7.2580 -1.2163
Au 9.1347 2.5628 3.4789
Au 4.0793 9.1347 -2.5628
Au 7.2580 1.2163 5.3556
Au 1.5765 2.5628 4.0793
Au 2.2026 0.3002 6.3419
Au 5.3556 7.2580 1.2163
Au 5.9817 4.9954 3.4789
Au 0.3002 6.3419 2.2026
Au 3.4789 -1.5765 10.1210
Au -1.5765 4.9954 4.0793
Au 5.3556 0.3002 8.7745
Au -1.2163 2.2026 7.2580
Au 4.9954 3.4789 5.9817
Au 2.5628 11.6375 -1.5765
Au 1.2163 9.7608 0.3002
Au 3.4789 5.9817 4.9954
Au 0.3002 1.2163 9.7608
Au 3.4789 9.1347 2.5628
Au 7.8584 6.3419 5.3556
Au 1.2163 5.3556 7.2580
Au 2.5628 3.4789 9.1347
Au -2.5628 4.0793 9.1347
Au 6.3419 5.3556 7.8584
Au -1.5765 10.1210 3.4789
Au -2.2026 7.2580 6.3419
Au -4.0793 9.1347 4.9954
Au 0.3002 8.7745 5.3556
Au -1.5765 2.5628 11.6375
Au 5.3556 7.8584 6.3419
```

Computed properties:
The symmetry is No. 230. The calculation puts the energy relative to the elements at 0.1607 eV per atom. The value obtained for the volume is 432 Å³/f.u.

---

This record from Alexandria describes a geometry-optimized Y4ErMgS8 structure. The functional is PBE-GGA.

```
14
Lattice="3.9867 2.3017 6.5037 -3.9867 2.3017 6.5037 0.0000 -4.6035 6.5037" Properties=species:S:1:pos:R:3 pbc="T T T"
Y 0.0000 0.0000 0.0000
Y -1.9509 -1.1264 8.9541
Y 1.9509 -1.1264 8.9541
Y 0.0000 2.2527 8.9541
Er 0.0000 0.0000 12.1335
Mg 0.0000 0.0000 4.8750
S 0.0000 0.0000 7.3812
S 0.0000 -2.2246 10.5555
S -1.9265 1.1123 10.5555
S -1.8467 -1.0662 13.8519
S 1.9265 1.1123 10.5555
S 1.8467 -1.0662 13.8519
S 0.0000 2.1324 13.8519
S 0.0000 0.0000 16.9064
```

Computed properties:
The symmetry is No. 160. As for the formation energy from raw total energies: -1.924 eV/atom. The value obtained for the volume is 358 Å³/f.u.

---

This record from Alexandria describes a geometry-optimized LiSnGe2Se6 structure. The functional is PBE-GGA.

```
20
Lattice="6.6249 -6.0773 0.0000 6.6249 6.0773 0.0000 -1.9692 0.0000 6.6993" Properties=species:S:1:pos:R:3 pbc="T T T"
Li 5.1480 3.1141 5.0245
Li 6.1326 -3.1141 1.6748
Sn 6.1326 1.5397 1.6748
Sn 5.1480 -1.5397 5.0245
Ge 1.2248 0.9957 4.9888
Ge 2.2093 -0.9957 1.6391
Ge 9.0713 0.9957 5.0602
Ge 10.0559 -0.9957 1.7105
Se 1.6376 0.8204 0.1178
Se 3.9127 2.9611 2.6981
Se 0.6530 -0.8204 3.4674
Se 3.5415 0.9311 5.6301
Se 8.3525 2.9611 0.6516
Se 4.5261 -0.9311 2.2805
Se 6.7545 0.9311 4.4188
Se 2.9281 -2.9611 6.0477
Se 7.7391 -0.9311 1.0692
Se 10.6276 0.8204 3.2319
Se 7.3680 -2.9611 4.0013
Se 9.6430 -0.8204 6.5816
```

Computed properties:
The symmetry is No. 15. As for the formation energy from raw total energies: -0.375 eV/atom. The value obtained for the volume is 270 Å³/f.u.

---

| no. | spin magnetization (μB/cell) |
| --- | --- |
| 1 | 0.00 |
| 2 | 0.00 |
| 3 | 0.00 |
| 4 | 0.00 |
| 5 | 0.00 |
| 6 | 0.00 |
| 7 | 0.00 |
| 8 | 0.00 |
| 9 | 0.00 |